Material: Rb2Tl3Hg4Bi
Method: DFT, PBE
State: relaxed

Values from the calculation:
The calculation puts the density of states at the Fermi level at 5.55 states/eV/f.u. The calculation puts the formation energy at -0.1428 eV per atom. The calculation puts the total energy at -15.6 eV for the cell shown. As for the space group: P-4m2, No. 115.

abc: 5.298 5.298 12.704
angles: 90.00 90.00 90.00
Positions (direct):
Rb  0.500  0.000  0.249
Rb  0.000  0.500  0.751
Bi  0.500  0.500  0.500
Tl  0.000  0.500  0.124
Tl  0.500  0.000  0.876
Tl  0.000  0.000  0.500
Hg  0.000  0.500  0.363
Hg  0.500  0.500  0.000
Hg  0.500  0.000  0.637
Hg  0.000  0.000  0.000